[1]
TaTcP2 (PBE, relaxed); energy above the lowest structure with this stoichiometry = 463 meV per atom; density of states at the Fermi level = 2.01 states/eV per cell; formation enthalpy at 0 K = -0.20 eV per atom; space group = R3m; M_tot = 0.00 Bohr magnetons per cell
1.0
1.515 0.875 7.560
-1.515 0.875 7.560
0.000 -1.749 7.560
Ta Tc P
1 1 2
Direct
0.000 0.000 0.000
0.765 0.765 0.765
0.251 0.251 0.251
0.505 0.505 0.505

***

[2]
CuPCl3 (PBE, relaxed); energy above the lowest structure with this stoichiometry = 659 meV per atom; density of states at the Fermi level = 9.31 states/eV per cell; formation energy from raw total energies = 0.3293 eV/atom; space group = P6_3/mmc; M_tot = 2.13 Bohr magnetons per cell
1.0
6.387 0.000 0.000
-3.194 5.532 0.000
0.000 0.000 6.082
Cu P Cl
2 2 6
Direct
0.000 0.000 0.000
0.000 0.000 0.500
0.333 0.667 0.250
0.667 0.333 0.750
0.169 0.337 0.750
0.169 0.831 0.750
0.337 0.169 0.250
0.663 0.831 0.750
0.831 0.169 0.250
0.831 0.663 0.250

***

[3]
CsTeI3 (PBE, relaxed); energy above the lowest structure with this stoichiometry = 905 meV per atom; density of states at the Fermi level = 13.55 states/eV per cell; formation energy from raw total energies = 0.2187 eV/atom; space group = Pm-3m; M_tot = 4.00 Bohr magnetons per cell
1.0
7.273 0.000 0.000
0.000 7.273 0.000
0.000 0.000 7.273
Cs Te I
1 1 3
Direct
0.000 0.000 0.000
0.500 0.500 0.500
0.000 0.000 0.500
0.000 0.500 0.000
0.500 0.000 0.000

***

> Which of these has the lowest density of states at the Fermi level?

TaTcP2

***

> What is the formula in the third record?

CsTeI3